First-principles (PBE+U) data for an optimized crystal structure of NaRhWO6, as listed in Alexandria.

Cell lengths 5.2529, 5.2529, 10.3649 Å; angles 90.00, 90.00, 120.00 degrees
Last column: nearest neighbours and their distance in Å.
Fractional coordinates of all 18 atoms:
Na 0.0000 0.0000 0.0000  6 O 2.48
Na 0.0000 0.0000 0.5000  6 O 2.48
Rh 0.3333 0.6667 0.2500  6 O 1.99
Rh 0.6667 0.3333 0.7500  6 O 1.99
W 0.6667 0.3333 0.2500  6 O 1.96
W 0.3333 0.6667 0.7500  6 O 1.96
O 0.6302 0.6255 0.1468  1 W 1.96, 1 Rh 1.99
O 0.9953 0.3698 0.1468  1 W 1.96, 1 Rh 1.99
O 0.3698 0.9953 0.6468  1 W 1.96, 1 Rh 1.99
O 0.0047 0.6302 0.8532  1 W 1.96, 1 Rh 1.99
O 0.3745 0.3698 0.3532  1 W 1.96, 1 Rh 1.99
O 0.9953 0.6255 0.3532  1 W 1.96, 1 Rh 1.99
O 0.6255 0.9953 0.8532  1 W 1.96, 1 Rh 1.99
O 0.6302 0.0047 0.3532  1 W 1.96, 1 Rh 1.99
O 0.0047 0.3745 0.6468  1 W 1.96, 1 Rh 1.99
O 0.3745 0.0047 0.1468  1 W 1.96, 1 Rh 1.99
O 0.6255 0.6302 0.6468  1 W 1.96, 1 Rh 1.99
O 0.3698 0.3745 0.8532  1 W 1.96, 1 Rh 1.99

Output
* ρ: 5.4 g cm⁻³
* VASP energy: -6.426 eV per atom
* space group: No. 163
* magnetic moment: 0.227 μB/atom